# K3HoRh3O8 | Alexandria via LeMat-Bulk | GGA-PBE | relaxed
# Volume in Å³ per cell: 648
# Magnetization in μB/cell: 2.7
# Mass density in g/cm³: 5.5
# Final energy in eV/atom: -6.07
data_K3HoRh3O8
_cell_length_a 6.3847
_cell_length_b 6.3847
_cell_length_c 18.3421
_cell_angle_alpha 90.00
_cell_angle_beta 90.00
_cell_angle_gamma 120.00
_space_group_name_H-M_alt 'R -3 m'
_space_group_IT_number 166
_space_group_name_Hall '-R 3 2"'
loop_
_atom_site_label
_atom_site_type_symbol
_atom_site_fract_x
_atom_site_fract_y
_atom_site_fract_z
K1 K 0.0000 0.5000 0.0000
Ho1 Ho 0.0000 0.0000 0.5000
Rh1 Rh 0.0000 0.5000 0.5000
O1 O 0.0000 0.0000 0.2221
O2 O 0.0214 0.5107 0.7741